## BeCuAg2 (PBE)

Data for a relaxed structure of BeCuAg2.

Cell: 4.329 4.329 4.329 Å, 60.00 60.00 60.00°
Fractional coordinates of all 4 atoms:
Be 0.000 0.000 0.000
Cu 0.750 0.750 0.750
Ag 0.250 0.250 0.250
Ag 0.500 0.500 0.500

## Properties
The value obtained for the total energy is -12.10 eV for the cell shown.